Record 1
Entry from the Alexandria database: crystalline RbYPdCl6 at its relaxed geometry (PBE).

It has space group P312 (No. 149), with a = 6.7531 Å, b = 6.7531 Å, c = 7.4507 Å, α = 90.00°, β = 90.00° and γ = 120.00°. The inequivalent atoms are Rb at (0.0000, 0.0000, 0.0000), Y at (0.3333, 0.6667, 0.5000), Pd at (0.6667, 0.3333, 0.5000) and Cl at (0.3746, 0.0112, 0.2991).

As for the volume: 294 Å³/cell. The uncorrected formation energy is -1570 meV per atom.

***

Record 2
Entry from the Alexandria database: crystalline RbZn2PdCl at its relaxed geometry (PBE).

It has space group P4/mmm (No. 123), with a = 6.389 Å, b = 6.389 Å, c = 5.576 Å, α = 90.00°, β = 90.00° and γ = 90.00°. The inequivalent atoms are Rb at (0.000, 0.000, 0.000), Zn at (0.000, 0.500, 0.000), Pd at (0.000, 0.000, 0.500) and Cl at (0.500, 0.500, 0.500).

As for the volume: 228 Å³/cell. The uncorrected formation energy is 735 meV per atom.

***

Record 3
Entry from the Alexandria database: crystalline RePd2Cl at its relaxed geometry (PBE).

It has space group I-42d (No. 122), with a = 7.161 Å, b = 7.161 Å, c = 5.339 Å, α = 90.00°, β = 90.00° and γ = 90.00°. The inequivalent atoms are Re at (0.000, 0.000, 0.000), Pd at (0.248, 0.250, 0.125) and Cl at (0.000, 0.000, 0.500).

As for the volume: 274 Å³/cell. The polymorph energy (0 for the lowest one) comes out at 0.00 eV/f.u. The uncorrected formation energy is 853 meV per atom.

***

Record 4
Entry from the Alexandria database: crystalline RePdCl3 at its relaxed geometry (PBE).

It has space group Pm-3m (No. 221), with a = 4.922 Å, b = 4.922 Å, c = 4.922 Å, α = 90.00°, β = 90.00° and γ = 90.00°. The inequivalent atoms are Re at (0.000, 0.000, 0.000), Pd at (0.500, 0.500, 0.500) and Cl at (0.000, 0.500, 0.500).

As for the volume: 119 Å³/cell. The polymorph energy (0 for the lowest one) comes out at 1.55 eV/f.u. The uncorrected formation energy is 820 meV per atom.

***

Record 5
Entry from the Alexandria database: crystalline RePdCl3 at its relaxed geometry (PBE).

It has space group Pm-3m (No. 221), with a = 4.812 Å, b = 4.812 Å, c = 4.812 Å, α = 90.00°, β = 90.00° and γ = 90.00°. The inequivalent atoms are Re at (0.000, 0.000, 0.000), Pd at (0.500, 0.500, 0.500) and Cl at (0.000, 0.000, 0.500).

As for the volume: 111 Å³/cell. The polymorph energy (0 for the lowest one) comes out at 0.00 eV/f.u. The uncorrected formation energy is 511 meV per atom.

***

Record 6
Entry from the Alexandria database: crystalline Re2PdCl8 at its relaxed geometry (PBE).

It has space group P-1 (No. 2), with a = 4.861 Å, b = 7.773 Å, c = 8.995 Å, α = 102.67°, β = 102.17° and γ = 104.10°. The inequivalent atoms are Re at (0.188, 0.097, 0.477), Pd at (0.000, 0.000, 0.000), Cl at (0.027, 0.835, 0.750), Cl at (0.216, 0.382, 0.621), Cl at (0.357, 0.257, 0.004) and Cl at (0.385, 0.890, 0.320).

As for the volume: 309 Å³/cell. The uncorrected formation energy is -426 meV per atom.

***

Record 7
Entry from the Alexandria database: crystalline RePd2Cl at its relaxed geometry (PBE).

It has space group Fm-3m (No. 225), with a = 6.414 Å, b = 6.414 Å, c = 6.414 Å, α = 90.00°, β = 90.00° and γ = 90.00°. The inequivalent atoms are Re at (0.000, 0.000, 0.000), Pd at (0.250, 0.250, 0.250) and Cl at (0.000, 0.000, 0.500).

As for the volume: 264 Å³/cell. The polymorph energy (0 for the lowest one) comes out at 0.45 eV/f.u. The uncorrected formation energy is 965 meV per atom.

***

Record 8
Entry from the Alexandria database: crystalline RePdS2Cl at its relaxed geometry (PBE).

It has space group P4/mmm (No. 123), with a = 4.740 Å, b = 4.740 Å, c = 4.678 Å, α = 90.00°, β = 90.00° and γ = 90.00°. The inequivalent atoms are Re at (0.000, 0.000, 0.000), Pd at (0.500, 0.500, 0.500), S at (0.000, 0.500, 0.500) and Cl at (0.500, 0.500, 0.000).

As for the volume: 105 Å³/cell. The polymorph energy (0 for the lowest one) comes out at 3.48 eV/f.u. The uncorrected formation energy is 1154 meV per atom.

***

Record 9
Entry from the Alexandria database: crystalline RePdS2Cl at its relaxed geometry (PBE).

It has space group P4/mmm (No. 123), with a = 4.527 Å, b = 4.527 Å, c = 5.076 Å, α = 90.00°, β = 90.00° and γ = 90.00°. The inequivalent atoms are Re at (0.000, 0.000, 0.000), Pd at (0.500, 0.500, 0.500), S at (0.000, 0.500, 0.000) and Cl at (0.000, 0.000, 0.500).

As for the volume: 104 Å³/cell. The polymorph energy (0 for the lowest one) comes out at 0.00 eV/f.u. The uncorrected formation energy is 457 meV per atom.

***

Record 10
Entry from the Alexandria database: crystalline Sc2RePdCl at its relaxed geometry (PBE).

It has space group P4/mmm (No. 123), with a = 5.195 Å, b = 5.195 Å, c = 4.704 Å, α = 90.00°, β = 90.00° and γ = 90.00°. The inequivalent atoms are Sc at (0.000, 0.500, 0.000), Re at (0.000, 0.000, 0.500), Pd at (0.000, 0.000, 0.000) and Cl at (0.500, 0.500, 0.500).

As for the volume: 127 Å³/cell. The uncorrected formation energy is 578 meV per atom.